No. 1
A plane-wave DFT calculation with PBE-GGA was carried out for crystalline LiEr2Fe at its relaxed geometry.

Output
distance to the lowest polymorph of the same formula = 15 kJ/mol of formula units
energy of formation from the pure elements = 0.060 eV/atom

abc: 4.798 4.798 4.798
angles: 60.00 60.00 60.00
Atoms (fractional coordinates):
Er1 0.250 0.250 0.250
Er2 0.750 0.750 0.750
Fe1 0.000 0.000 0.000
Li1 0.500 0.500 0.500

No. 2
A plane-wave DFT calculation with PBE-GGA was carried out for crystalline LaY2Tl3Te6 at its relaxed geometry.

Output
formation energy (no corrections) = -1269 kJ/mol of formula units

abc: 7.839 7.839 8.574
angles: 98.78 98.78 119.97
Atoms (fractional coordinates):
Te1 0.727 0.727 0.214
Te2 0.927 0.583 0.783
Te3 0.417 0.073 0.217
Te4 0.273 0.273 0.786
Te5 0.583 0.927 0.783
Te6 0.073 0.417 0.217
Y1 0.667 0.333 0.000
Y2 0.333 0.667 0.000
Tl1 0.164 0.836 0.500
Tl2 0.836 0.164 0.500
Tl3 0.500 0.500 0.500
La1 0.000 0.000 0.000

No. 3
A plane-wave DFT calculation with PBE-GGA was carried out for crystalline BeReOs2 at its relaxed geometry.

Output
energy of formation from the pure elements = 0.097 eV/atom

abc: 2.741 3.841 5.137
angles: 90.00 90.00 90.00
Atoms (fractional coordinates):
Os1 0.500 0.500 0.261
Os2 0.000 0.000 0.972
Re1 0.000 0.000 0.506
Be1 0.500 0.500 0.761

Calculated ρ (g/cm3), listed in the same order as above: 8.45, 6.48, 17.67